# FeBi2PO8

Crystalline FeBi2PO8 at its relaxed geometry (PBE with a Hubbard U, Alexandria).

a b c (Å): 6.545 6.545 9.855
angles (deg): 66.65 66.65 64.37
Last column: magnetic moment on the atom in μB.
Positions (direct):
1 O 0.607 0.226 0.894  0.07
2 O 0.521 0.187 0.517  0.16
3 O 0.813 0.479 0.983  0.16
4 O 0.505 0.263 0.183  0.21
5 O 0.048 0.154 0.775  0.04
6 O 0.774 0.393 0.606  0.07
7 O 0.737 0.495 0.317  0.21
8 O 0.187 0.521 0.017  0.16
9 O 0.226 0.607 0.394  0.07
10 O 0.154 0.048 0.275  0.04
11 O 0.479 0.813 0.483  0.16
12 O 0.846 0.952 0.725  0.04
13 O 0.393 0.774 0.106  0.07
14 O 0.263 0.505 0.683  0.21
15 O 0.495 0.737 0.817  0.21
16 O 0.952 0.846 0.225  0.04
17 P 0.180 0.820 0.250  0.00
18 P 0.820 0.180 0.750  0.00
19 Bi 0.737 0.803 0.593  0.02
20 Bi 0.263 0.197 0.407  0.02
21 Bi 0.803 0.737 0.093  0.02
22 Bi 0.197 0.263 0.907  0.02
23 Fe 0.500 0.500 0.500  3.83
24 Fe 0.500 0.500 0.000  3.83

Output
Calculated total energy ... -0.4572 Ry per atom